Compound: Pr10Ga3Te3
Source: Alexandria
Functional: PBE
Structure: optimized geometry

Cell: 9.258 9.258 6.599 Å, 90.00 90.00 120.00°
Positions (direct):
Pr1 0.000 0.248 0.000
Pr2 0.000 0.754 0.500
Pr3 0.246 0.246 0.500
Pr4 0.248 0.000 0.000
Pr5 0.333 0.667 0.254
Pr6 0.333 0.667 0.746
Pr7 0.667 0.333 0.254
Pr8 0.667 0.333 0.746
Pr9 0.752 0.752 0.000
Pr10 0.754 0.000 0.500
Ga1 0.000 0.389 0.500
Ga2 0.389 0.000 0.500
Ga3 0.611 0.611 0.500
Te1 0.000 0.613 0.000
Te2 0.387 0.387 0.000
Te3 0.613 0.000 0.000

Raw formation energy in eV per atom: -0.7492
D(E_F) in states/eV per atom: 1.360

Compound: SiP
Source: Alexandria
Functional: PBE
Structure: optimized geometry

Cell: 2.481 4.827 5.559 Å, 90.00 90.00 90.00°
Positions (direct):
Si1 0.000 0.000 0.000
Si2 0.000 0.500 0.500
P1 0.000 0.000 0.583
P2 0.000 0.500 0.083

Raw formation energy in eV per atom: 0.1254
D(E_F) in states/eV per atom: 0.202

Compound: BaZr2In
Source: Alexandria
Functional: PBE
Structure: optimized geometry

Cell: 7.717 7.753 3.464 Å, 90.00 90.00 90.00°
Positions (direct):
Ba1 0.000 0.000 0.000
Ba2 0.500 0.500 0.000
Zr1 0.250 0.250 0.500
Zr2 0.250 0.750 0.500
Zr3 0.750 0.250 0.500
Zr4 0.750 0.750 0.500
In1 0.000 0.500 0.000
In2 0.500 0.000 0.000

D(E_F) in states/eV per atom: 1.062
VASP energy in eV/atom: -5.01

Compound: Dy2GeSe4
Source: Alexandria
Functional: PBE
Structure: optimized geometry

Cell: 6.317 6.317 12.377 Å, 90.00 90.00 90.00°
Positions (direct):
Dy1 0.000 0.500 0.250
Dy2 0.000 0.500 0.750
Dy3 0.500 0.000 0.250
Dy4 0.500 0.000 0.750
Ge1 0.000 0.000 0.000
Ge2 0.500 0.500 0.500
Se1 0.246 0.246 0.621
Se2 0.246 0.754 0.379
Se3 0.254 0.254 0.121
Se4 0.254 0.746 0.879
Se5 0.746 0.254 0.879
Se6 0.746 0.746 0.121
Se7 0.754 0.246 0.379
Se8 0.754 0.754 0.621

Raw formation energy in eV per atom: -1.1065

Compound: Fe4Rh3
Source: Alexandria
Functional: PBE
Structure: optimized geometry

Cell: 5.030 5.030 4.522 Å, 90.00 90.00 120.00°
Positions (direct):
Fe1 0.000 0.000 0.247
Fe2 0.000 0.000 0.753
Fe3 0.333 0.667 0.000
Fe4 0.667 0.333 0.000
Rh1 0.000 0.500 0.500
Rh2 0.500 0.000 0.500
Rh3 0.500 0.500 0.500

D(E_F) in states/eV per atom: 1.311
Energy above the lowest structure with this stoichiometry in meV/atom: 261

Compound: Mg2SiHg
Source: Alexandria
Functional: PBE
Structure: optimized geometry

Cell: 3.396 3.396 25.345 Å, 90.00 90.00 120.00°
Positions (direct):
Mg1 0.000 0.000 0.243
Mg2 0.000 0.000 0.757
Mg3 0.333 0.667 0.424
Mg4 0.333 0.667 0.910
Mg5 0.667 0.333 0.090
Mg6 0.667 0.333 0.576
Si1 0.000 0.000 0.500
Si2 0.333 0.667 0.167
Si3 0.667 0.333 0.833
Hg1 0.000 0.000 0.000
Hg2 0.333 0.667 0.667
Hg3 0.667 0.333 0.333

Raw formation energy in eV per atom: 0.0532
D(E_F) in states/eV per atom: 0.455

Compound: Ba4W
Source: Alexandria
Functional: PBE
Structure: optimized geometry

Cell: 6.297 6.297 6.297 Å, 90.00 90.00 90.00°
Positions (direct):
Ba1 0.000 0.000 0.000
Ba2 0.000 0.500 0.500
Ba3 0.500 0.000 0.500
Ba4 0.500 0.500 0.000
W1 0.500 0.500 0.500

D(E_F) in states/eV per atom: 1.282
Energy above the lowest structure with this stoichiometry in meV/atom: 67

Compound: Be3Te
Source: Alexandria
Functional: PBE
Structure: optimized geometry

Cell: 6.905 10.118 3.556 Å, 90.00 90.00 90.00°
Positions (direct):
Be1 0.000 0.068 0.250
Be2 0.000 0.932 0.750
Be3 0.204 0.073 0.750
Be4 0.204 0.927 0.250
Be5 0.296 0.427 0.250
Be6 0.296 0.573 0.750
Be7 0.500 0.432 0.750
Be8 0.500 0.568 0.250
Be9 0.704 0.427 0.250
Be10 0.704 0.573 0.750
Be11 0.796 0.073 0.750
Be12 0.796 0.927 0.250
Te1 0.000 0.307 0.250
Te2 0.000 0.693 0.750
Te3 0.500 0.193 0.750
Te4 0.500 0.807 0.250

Raw formation energy in eV per atom: 0.3016
D(E_F) in states/eV per atom: 0.328
Energy above the lowest structure with this stoichiometry in meV/atom: 95

Compound: CaPr2In
Source: Alexandria
Functional: PBE
Structure: optimized geometry

Cell: 5.084 5.084 4.970 Å, 90.00 90.00 90.00°
Positions (direct):
Ca1 0.000 0.000 0.000
Pr1 0.000 0.500 0.500
Pr2 0.500 0.000 0.500
In1 0.500 0.500 0.000

D(E_F) in states/eV per atom: 1.125
Energy above the lowest structure with this stoichiometry in meV/atom: 0

Compound: SmSc3Zn4
Source: Alexandria
Functional: PBE
Structure: optimized geometry

Cell: 4.820 4.820 6.947 Å, 90.00 90.00 90.00°
Positions (direct):
Sm1 0.000 0.000 0.000
Sc1 0.000 0.000 0.500
Sc2 0.500 0.500 0.000
Sc3 0.500 0.500 0.500
Zn1 0.000 0.500 0.270
Zn2 0.000 0.500 0.730
Zn3 0.500 0.000 0.270
Zn4 0.500 0.000 0.730

D(E_F) in states/eV per atom: 0.975
VASP energy in eV/atom: -3.94

Compound: HgPd2Pt4
Source: Alexandria
Functional: PBE
Structure: optimized geometry

Cell: 8.842 4.019 6.474 Å, 90.00 99.27 90.00°
Positions (direct):
Hg1 0.000 0.000 0.000
Hg2 0.500 0.500 0.000
Pd1 0.214 0.500 0.147
Pd2 0.286 0.000 0.853
Pd3 0.714 0.000 0.147
Pd4 0.786 0.500 0.853
Pt1 0.073 0.500 0.706
Pt2 0.144 0.000 0.433
Pt3 0.356 0.500 0.567
Pt4 0.427 0.000 0.294
Pt5 0.573 0.000 0.706
Pt6 0.644 0.500 0.433
Pt7 0.856 0.000 0.567
Pt8 0.927 0.500 0.294

D(E_F) in states/eV per atom: 1.668
VASP energy in eV/atom: -5.01

Compound: CrIrPd
Source: Alexandria
Functional: PBE
Structure: optimized geometry

Cell: 3.796 11.535 3.822 Å, 90.00 90.00 90.00°
Positions (direct):
Cr1 0.000 0.066 0.250
Cr2 0.000 0.934 0.750
Cr3 0.500 0.434 0.750
Cr4 0.500 0.566 0.250
Ir1 0.000 0.421 0.250
Ir2 0.000 0.579 0.750
Ir3 0.500 0.079 0.750
Ir4 0.500 0.921 0.250
Pd1 0.000 0.253 0.750
Pd2 0.000 0.747 0.250
Pd3 0.500 0.247 0.250
Pd4 0.500 0.753 0.750

D(E_F) in states/eV per atom: 1.272
Energy above the lowest structure with this stoichiometry in meV/atom: 24